{
  "formula": "Re5Ag",
  "functional": "GGA-PBE",
  "state": "relaxed",
  "formation_enthalpy_0k_ev_per_atom": 0.268,
  "polymorph_energy_mev_per_atom": 0,
  "vol_a3_per_atom": 15.232,
  "total_energy_ev_per_atom": -10.58,
  "cell": [[1.389, -7.319, 0.000], [1.389, 7.319, 0.000], [0.000, 0.000, 4.494]],
  "species": ["Re", "Re", "Re", "Re", "Re", "Ag"],
  "frac_coords": [[0.561, 0.439, 0.500], [0.329, 0.671, 0.000], [0.224, 0.776, 0.500], [0.668, 0.332, 0.000], [0.886, 0.114, 0.500], [0.000, 0.000, 0.000]]
}